# 1
{"formula": "MgZnMo2", "functional": "GGA-PBE", "state": "optimized geometry", "polymorph_energy_ev_per_atom": 0.018, "sg": "P4mm (99)", "ef_ev_per_atom": 0.14, "m_tot_mub_per_cell": 0.000, "dos_ef_per_ev_atom": 1.007, "final_energy_ev_per_atom": -5.9880, "cell": [[3.2630, 0.0000, 0.0000], [0.0000, 3.2630, 0.0000], [0.0000, 0.0000, 6.3093]], "species": ["Mo", "Mo", "Zn", "Mg"], "frac_coords": [[0.5000, 0.5000, 0.2280], [0.0000, 0.0000, 0.0382], [0.0000, 0.0000, 0.4904], [0.5000, 0.5000, 0.7434]]}


# 2
{"formula": "CrGa2Pd", "functional": "GGA-PBE", "state": "optimized geometry", "sg": "Fm-3m (225)", "ef_ev_per_atom": -0.22, "m_tot_mub_per_cell": 3.459, "dos_ef_per_ev_atom": 0.631, "final_energy_ev_per_atom": -5.4371, "cell": [[-3.5151, 1.3520, 2.2676], [-2.3731, 3.4056, -1.4479], [-4.0388, -0.6597, -1.6060]], "species": ["Cr", "Pd", "Ga", "Ga"], "frac_coords": [[0.0000, 0.0000, 0.0000], [0.5000, 0.5000, 0.5000], [0.2500, 0.2500, 0.2500], [0.7500, 0.7500, 0.7500]]}


# 3
{"formula": "LaYHf", "functional": "GGA-PBE", "state": "optimized geometry", "polymorph_energy_ev_per_atom": 0.000, "sg": "P4/nmm (129)", "ef_ev_per_atom": 0.11, "m_tot_mub_per_cell": 0.000, "dos_ef_per_ev_atom": 1.689, "final_energy_ev_per_atom": -7.0051, "cell": [[-1.5017, -2.9336, 1.8428], [3.3984, -0.8574, 1.4045], [-2.3139, 7.6261, 10.2547]], "species": ["Hf", "Hf", "La", "La", "Y", "Y"], "frac_coords": [[0.5000, 0.0000, 0.0502], [0.0000, 0.5000, 0.9498], [0.5000, 0.0000, 0.4038], [0.0000, 0.5000, 0.5962], [0.5000, 0.0000, 0.8008], [0.0000, 0.5000, 0.1992]]}